Compound: KZn2Cr2O6
Source: Alexandria via LeMat-Bulk
Functional: GGA+U
Structure: relaxed

a = 5.757 Å, b = 5.796 Å, c = 5.915 Å
α = 61.75°, β = 86.39°, γ = 80.51°
Space group P-1 (No. 2)
Unique sites:
K (0.000, 0.000, 0.000) x1
Zn (0.182, 0.557, 0.627) x2
Cr (0.377, 0.219, 0.279) x2
O (0.166, 0.454, 0.351) x2
O (0.325, 0.875, 0.543) x2
O (0.331, 0.301, 0.954) x2

Output
Calculated volume   15.6 Å³/atom
DFT total energy   -64.1 eV for the cell shown